A relaxed structure of CaPuAlCd, computed with GGA-PBE.

a = 7.481 Å, b = 7.481 Å, c = 7.481 Å
α = 90.00°, β = 90.00°, γ = 90.00°
Fractional positions:
Ca1 0.000 0.000 0.000
Ca2 0.000 0.500 0.500
Ca3 0.500 0.000 0.500
Ca4 0.500 0.500 0.000
Pu1 0.000 0.000 0.500
Pu2 0.000 0.500 0.000
Pu3 0.500 0.000 0.000
Pu4 0.500 0.500 0.500
Al1 0.250 0.250 0.250
Al2 0.250 0.750 0.750
Al3 0.750 0.250 0.750
Al4 0.750 0.750 0.250
Cd1 0.250 0.250 0.750
Cd2 0.250 0.750 0.250
Cd3 0.750 0.250 0.250
Cd4 0.750 0.750 0.750

Computed properties:
- DOS(E_F): 37.2 states/eV/cell
- Calculated formation energy: -0.098 eV per atom
- Space group: F-43m, No. 216
- Crystal system: cubic

***

A relaxed structure of CaCo4Si12, computed with GGA-PBE.

a = 6.981 Å, b = 6.981 Å, c = 6.981 Å
α = 109.47°, β = 109.47°, γ = 109.47°
Fractional positions:
Ca1 0.000 0.000 0.000
Co1 0.000 0.000 0.500
Co2 0.000 0.500 0.000
Co3 0.500 0.000 0.000
Co4 0.500 0.500 0.500
Si1 0.172 0.521 0.349
Si2 0.172 0.823 0.651
Si3 0.177 0.349 0.828
Si4 0.349 0.172 0.521
Si5 0.349 0.828 0.177
Si6 0.479 0.651 0.828
Si7 0.521 0.349 0.172
Si8 0.651 0.172 0.823
Si9 0.651 0.828 0.479
Si10 0.823 0.651 0.172
Si11 0.828 0.177 0.349
Si12 0.828 0.479 0.651

Computed properties:
- E_form (uncorrected): -1.46 eV per formula unit
- DOS(E_F): 15.0 states/eV/cell
- Space group: Im-3, No. 204
- Crystal system: cubic

***

A relaxed structure of AcLaN, computed with GGA-PBE.

a = 3.776 Å, b = 3.776 Å, c = 6.870 Å
α = 90.00°, β = 90.00°, γ = 120.00°
Fractional positions:
Ac1 0.000 0.000 0.000
La1 0.333 0.667 0.423
N1 0.667 0.333 0.240

Computed properties:
- E_form (uncorrected): -2.28 eV per formula unit
- DOS(E_F): 3.3 states/eV/cell
- ΔE to the lowest computed polymorph: 1.06 kJ/mol of atoms
- Space group: P3m1, No. 156
- Crystal system: trigonal

***

A relaxed structure of MnZn2Ge, computed with GGA-PBE.

a = 3.836 Å, b = 3.836 Å, c = 3.958 Å
α = 90.00°, β = 90.00°, γ = 90.00°
Fractional positions:
Mn1 0.000 0.000 0.000
Zn1 0.000 0.500 0.500
Zn2 0.500 0.000 0.500
Ge1 0.500 0.500 0.000

Computed properties:
- DOS(E_F): 1.4 states/eV/cell
- Calculated formation energy: 0.031 eV per atom
- Space group: P4/mmm, No. 123
- Crystal system: tetragonal

***

A relaxed structure of Pr3Ge2Rh2, computed with GGA-PBE.

a = 5.768 Å, b = 8.118 Å, c = 13.602 Å
α = 90.00°, β = 90.00°, γ = 90.00°
Fractional positions:
Pr1 0.137 0.249 0.250
Pr2 0.137 0.251 0.750
Pr3 0.358 0.609 0.600
Pr4 0.358 0.609 0.900
Pr5 0.358 0.891 0.100
Pr6 0.358 0.891 0.400
Pr7 0.642 0.109 0.600
Pr8 0.642 0.109 0.900
Pr9 0.642 0.391 0.100
Pr10 0.642 0.391 0.400
Pr11 0.863 0.749 0.250
Pr12 0.863 0.751 0.750
Ge1 0.145 0.250 0.000
Ge2 0.145 0.250 0.500
Ge3 0.355 0.604 0.250
Ge4 0.355 0.896 0.750
Ge5 0.645 0.104 0.250
Ge6 0.645 0.396 0.750
Ge7 0.855 0.750 0.000
Ge8 0.855 0.750 0.500
Rh1 0.122 0.536 0.091
Rh2 0.122 0.536 0.409
Rh3 0.122 0.964 0.591
Rh4 0.122 0.964 0.909
Rh5 0.878 0.036 0.091
Rh6 0.878 0.036 0.409
Rh7 0.878 0.464 0.591
Rh8 0.878 0.464 0.909

Computed properties:
- DOS(E_F): 23.9 states/eV/cell
- Calculated formation energy: -0.834 eV per atom
- Space group: Pbcm, No. 57
- Crystal system: orthorhombic

***

A relaxed structure of SrLi3Re, computed with GGA-PBE.

a = 4.469 Å, b = 4.469 Å, c = 4.469 Å
α = 90.00°, β = 90.00°, γ = 90.00°
Fractional positions:
Sr1 0.000 0.000 0.000
Li1 0.000 0.000 0.500
Li2 0.000 0.500 0.000
Li3 0.500 0.000 0.000
Re1 0.500 0.500 0.500

Computed properties:
- DOS(E_F): 0.1 states/eV/cell
- ΔE to the lowest computed polymorph: 80.75 kJ/mol of atoms
- Calculated formation energy: 1.785 eV per atom
- Space group: Pm-3m, No. 221
- Crystal system: cubic

***

A relaxed structure of Ca2MgTiC, computed with GGA-PBE.

a = 5.784 Å, b = 5.784 Å, c = 5.318 Å
α = 90.00°, β = 90.00°, γ = 90.00°
Fractional positions:
Ca1 0.000 0.500 0.000
Ca2 0.500 0.000 0.000
Mg1 0.000 0.000 0.500
Ti1 0.000 0.000 0.000
C1 0.500 0.500 0.500

Computed properties:
- DOS(E_F): 7.1 states/eV/cell
- Calculated formation energy: 2.030 eV per atom
- Space group: P4/mmm, No. 123
- Crystal system: tetragonal

***

A relaxed structure of Y3Be2, computed with GGA-PBE.

a = 4.774 Å, b = 4.774 Å, c = 5.925 Å
α = 90.00°, β = 90.00°, γ = 120.00°
Fractional positions:
Y1 0.000 0.000 0.000
Y2 0.333 0.667 0.342
Y3 0.667 0.333 0.658
Be1 0.333 0.667 0.856
Be2 0.667 0.333 0.144

Computed properties:
- DOS(E_F): 5.6 states/eV/cell
- ΔE to the lowest computed polymorph: 0.00 kJ/mol of atoms
- Calculated formation energy: 0.184 eV per atom
- Space group: P-3m1, No. 164
- Crystal system: trigonal

***

A relaxed structure of ThTe2Pd, computed with GGA-PBE.

a = 5.062 Å, b = 5.062 Å, c = 14.007 Å
α = 90.00°, β = 90.00°, γ = 120.00°
Fractional positions:
Th1 0.000 0.000 0.000
Th2 0.333 0.667 0.667
Th3 0.667 0.333 0.333
Te1 0.000 0.000 0.237
Te2 0.000 0.000 0.763
Te3 0.333 0.667 0.429
Te4 0.333 0.667 0.904
Te5 0.667 0.333 0.096
Te6 0.667 0.333 0.571
Pd1 0.000 0.000 0.500
Pd2 0.333 0.667 0.167
Pd3 0.667 0.333 0.833

Computed properties:
- E_form (uncorrected): -3.03 eV per formula unit
- DOS(E_F): 0.3 states/eV/cell
- ΔE to the lowest computed polymorph: 22.61 kJ/mol of atoms
- Space group: R-3m, No. 166
- Crystal system: trigonal

***

A relaxed structure of RbDyTiSe4, computed with GGA-PBE.

a = 6.843 Å, b = 7.092 Å, c = 9.528 Å
α = 90.00°, β = 108.52°, γ = 90.00°
Fractional positions:
Rb1 0.242 0.250 0.442
Rb2 0.758 0.750 0.558
Dy1 0.288 0.250 0.955
Dy2 0.712 0.750 0.045
Ti1 0.265 0.750 0.165
Ti2 0.735 0.250 0.835
Se1 0.049 0.750 0.919
Se2 0.058 0.750 0.322
Se3 0.489 0.506 0.798
Se4 0.489 0.994 0.798
Se5 0.511 0.006 0.202
Se6 0.511 0.494 0.202
Se7 0.942 0.250 0.678
Se8 0.951 0.250 0.081

Computed properties:
- E_form (uncorrected): -10.03 eV per formula unit
- Space group: P2_1/m, No. 11
- Crystal system: monoclinic

***

A relaxed structure of BaSrSe4, computed with GGA-PBE.

a = 9.999 Å, b = 5.790 Å, c = 7.342 Å
α = 90.00°, β = 117.37°, γ = 90.00°
Fractional positions:
Ba1 0.000 0.000 0.000
Ba2 0.500 0.500 0.000
Sr1 0.000 0.500 0.500
Sr2 0.500 0.000 0.500
Se1 0.152 0.500 0.958
Se2 0.222 0.000 0.676
Se3 0.278 0.500 0.324
Se4 0.348 0.000 0.042
Se5 0.652 0.000 0.958
Se6 0.722 0.500 0.676
Se7 0.778 0.000 0.324
Se8 0.848 0.500 0.042

Computed properties:
- E_form (uncorrected): -6.37 eV per formula unit
- DOS(E_F): 0.0 states/eV/cell
- ΔE to the lowest computed polymorph: 0.00 kJ/mol of atoms
- Space group: C2/m, No. 12
- Crystal system: monoclinic

***

A relaxed structure of NaLa2CdH, computed with GGA-PBE.

a = 5.088 Å, b = 5.088 Å, c = 4.859 Å
α = 90.00°, β = 90.00°, γ = 90.00°
Fractional positions:
Na1 0.000 0.000 0.000
La1 0.000 0.500 0.500
La2 0.500 0.000 0.500
Cd1 0.500 0.500 0.000
H1 0.500 0.500 0.500

Computed properties:
- DOS(E_F): 3.9 states/eV/cell
- ΔE to the lowest computed polymorph: 8.48 kJ/mol of atoms
- Space group: P4/mmm, No. 123
- Crystal system: tetragonal

***

A relaxed structure of Tm2Zn3Ga4Cu, computed with GGA-PBE.

a = 4.129 Å, b = 4.129 Å, c = 10.494 Å
α = 90.00°, β = 90.00°, γ = 90.00°
Fractional positions:
Tm1 0.000 0.500 0.242
Tm2 0.500 0.000 0.758
Zn1 0.000 0.000 0.000
Zn2 0.000 0.500 0.642
Zn3 0.500 0.000 0.358
Ga1 0.000 0.000 0.500
Ga2 0.000 0.500 0.870
Ga3 0.500 0.000 0.130
Ga4 0.500 0.500 0.500
Cu1 0.500 0.500 0.000

Computed properties:
- DOS(E_F): 3.7 states/eV/cell
- Calculated formation energy: -0.374 eV per atom
- Space group: P-4m2, No. 115
- Crystal system: tetragonal

***

A relaxed structure of K7Rb3Pt, computed with GGA-PBE.

a = 8.330 Å, b = 8.330 Å, c = 12.643 Å
α = 104.64°, β = 104.64°, γ = 102.81°
Fractional positions:
K1 0.000 0.000 0.000
K2 0.217 0.566 0.117
K3 0.310 0.957 0.754
K4 0.521 0.521 0.873
K5 0.566 0.217 0.117
K6 0.819 0.819 0.274
K7 0.957 0.310 0.754
Rb1 0.080 0.433 0.431
Rb2 0.433 0.080 0.431
Rb3 0.706 0.706 0.589
Pt1 0.258 0.258 0.934

Computed properties:
- DOS(E_F): 7.5 states/eV/cell
- Calculated formation energy: 0.020 eV per atom
- Space group: Cm, No. 8
- Crystal system: monoclinic